(1)
Material: Ta2BeAu
Method: DFT, PBE-GGA
State: relaxed

Size of the total moment, Bohr magnetons per cell: 0.86

Structure (CIF):
```
data_Ta2BeAu
_chemical_formula_sum 'Ta2 Be1 Au1'
_cell_length_a 4.530
_cell_length_b 4.530
_cell_length_c 4.530
_cell_angle_alpha 60.00
_cell_angle_beta 60.00
_cell_angle_gamma 60.00
_space_group_name_H-M_alt 'P 1'
_space_group_IT_number 1
_space_group_name_Hall 'P 1'
loop_
_atom_site_label
_atom_site_type_symbol
_atom_site_fract_x
_atom_site_fract_y
_atom_site_fract_z
Ta1 Ta 0.000 0.000 0.000
Ta2 Ta 0.250 0.250 0.250
Be1 Be 0.500 0.500 0.500
Au1 Au 0.750 0.750 0.750
```

***

(2)
Material: CuSiSn2
Method: DFT, PBE-GGA
State: relaxed

Structure (CIF):
```
data_CuSiSn2
_chemical_formula_sum 'Cu1 Si1 Sn2'
_cell_length_a 4.906
_cell_length_b 4.906
_cell_length_c 4.906
_cell_angle_alpha 60.00
_cell_angle_beta 60.00
_cell_angle_gamma 60.00
_space_group_name_H-M_alt 'P 1'
_space_group_IT_number 1
_space_group_name_Hall 'P 1'
loop_
_atom_site_label
_atom_site_type_symbol
_atom_site_fract_x
_atom_site_fract_y
_atom_site_fract_z
Cu1 Cu 0.000 0.000 0.000
Si1 Si 0.750 0.750 0.750
Sn1 Sn 0.250 0.250 0.250
Sn2 Sn 0.500 0.500 0.500
```

***

(3)
Material: NaNi2S3
Method: DFT, PBE-GGA
State: relaxed

Size of the total moment, Bohr magnetons per cell: 0.01
Distance to the lowest polymorph of the same formula, meV/atom: 0

Structure (CIF):
```
data_NaNi2S3
_chemical_formula_sum 'Na2 Ni4 S6'
_cell_length_a 6.970
_cell_length_b 3.503
_cell_length_c 8.788
_cell_angle_alpha 90.00
_cell_angle_beta 107.08
_cell_angle_gamma 90.00
_space_group_name_H-M_alt 'P 1'
_space_group_IT_number 1
_space_group_name_Hall 'P 1'
loop_
_atom_site_label
_atom_site_type_symbol
_atom_site_fract_x
_atom_site_fract_y
_atom_site_fract_z
Na1 Na 0.243 0.250 0.212
Na2 Na 0.757 0.750 0.788
Ni1 Ni 0.178 0.750 0.647
Ni2 Ni 0.434 0.250 0.891
Ni3 Ni 0.566 0.750 0.109
Ni4 Ni 0.822 0.250 0.353
S1 S 0.045 0.750 0.372
S2 S 0.261 0.750 0.934
S3 S 0.391 0.250 0.637
S4 S 0.609 0.750 0.363
S5 S 0.739 0.250 0.066
S6 S 0.955 0.250 0.628
```

***

Number 1: final energy -28.89 eV/cell. Number 2: final energy -15.28 eV/cell. Number 3: final energy -55.01 eV/cell.